1.
A plane-wave DFT calculation with PBE was carried out for an optimized crystal structure of ZrCoBi3.

Lattice parameters (Å, degrees): 5.634 5.634 5.634 90.00 90.00 90.00
Space group Pm-3m (No. 221)
One atom of each set of equivalent atoms:
Zr 0.000 0.000 0.000 x1
Co 0.500 0.500 0.500 x1
Bi 0.000 0.000 0.500 x3

Properties
Offset from the most stable computed form, meV/atom: 443
Crystal system: cubic
Mass density, g cm⁻³: 7.2
Spin magnetization, μB per cell: 2.29
DOS at the Fermi energy, states/eV/cell: 4.61

=====

2.
A plane-wave DFT calculation with PBE was carried out for an optimized crystal structure of ZrCo4Bi.

Lattice parameters (Å, degrees): 7.063 7.063 7.063 90.00 90.00 90.00
Space group F-43m (No. 216)
One atom of each set of equivalent atoms:
Zr 0.000 0.000 0.000 x4
Co 0.126 0.126 0.626 x16
Bi 0.250 0.250 0.250 x4

Properties
Crystal system: cubic
VASP energy, eV per atom: -6.8072
Mass density, g cm⁻³: 10.1
Spin magnetization, μB per cell: 20.22
DOS at the Fermi energy, states/eV/cell: 35.11

=====

3.
A plane-wave DFT calculation with PBE was carried out for an optimized crystal structure of Zr4CoBi2.

Lattice parameters (Å, degrees): 11.183 11.183 5.224 90.00 90.00 90.00
Space group I4/mcm (No. 140)
One atom of each set of equivalent atoms:
Zr 0.082 0.197 0.000 x16
Co 0.000 0.000 0.250 x4
Bi 0.139 0.361 0.500 x8

Properties
Crystal system: tetragonal
VASP energy, eV per atom: -7.4008
Mass density, g cm⁻³: 8.6
Spin magnetization, μB per cell: 0.00
DOS at the Fermi energy, states/eV/cell: 15.40

=====

4.
A plane-wave DFT calculation with PBE was carried out for an optimized crystal structure of ZrCoBi2.

Lattice parameters (Å, degrees): 7.703 7.703 6.244 90.00 90.00 90.00
Space group I-42d (No. 122)
One atom of each set of equivalent atoms:
Zr 0.000 0.000 0.000 x4
Co 0.000 0.000 0.500 x4
Bi 0.194 0.250 0.625 x8

Properties
Offset from the most stable computed form, meV/atom: 0
Crystal system: tetragonal
Mass density, g cm⁻³: 10.2
Spin magnetization, μB per cell: 1.89
DOS at the Fermi energy, states/eV/cell: 16.58

=====

5.
A plane-wave DFT calculation with PBE was carried out for an optimized crystal structure of Zr5Co2Bi.

Lattice parameters (Å, degrees): 7.111 7.111 13.101 90.00 90.00 90.00
Space group I4/mcm (No. 140)
One atom of each set of equivalent atoms:
Zr 0.000 0.000 0.000 x4
Zr 0.157 0.343 0.129 x16
Co 0.132 0.368 0.500 x8
Bi 0.000 0.000 0.250 x4

Properties
Crystal system: tetragonal
VASP energy, eV per atom: -7.8812
Mass density, g cm⁻³: 7.8
Spin magnetization, μB per cell: 0.00
DOS at the Fermi energy, states/eV/cell: 40.13

=====

6.
A plane-wave DFT calculation with PBE was carried out for an optimized crystal structure of Zr2Co2Bi.

Lattice parameters (Å, degrees): 7.342 7.342 3.325 90.00 90.00 90.00
Space group P4/mbm (No. 127)
One atom of each set of equivalent atoms:
Zr 0.162 0.338 0.000 x4
Co 0.126 0.626 0.500 x4
Bi 0.000 0.000 0.500 x2

Properties
Offset from the most stable computed form, meV/atom: 0
Crystal system: tetragonal
Mass density, g cm⁻³: 9.4
Spin magnetization, μB per cell: 0.04
DOS at the Fermi energy, states/eV/cell: 9.78

=====

7.
A plane-wave DFT calculation with PBE was carried out for an optimized crystal structure of Zr12Co5Bi.

Lattice parameters (Å, degrees): 8.430 8.546 9.943 90.00 90.00 90.00
Space group Immm (No. 71)
One atom of each set of equivalent atoms:
Zr 0.000 0.188 0.221 x8
Zr 0.187 0.500 0.179 x8
Zr 0.210 0.318 0.500 x8
Co 0.000 0.000 0.000 x2
Co 0.000 0.343 0.000 x4
Co 0.000 0.500 0.375 x4
Bi 0.000 0.000 0.500 x2

Properties
Crystal system: orthorhombic
VASP energy, eV per atom: -8.1045
Mass density, g cm⁻³: 7.4
Spin magnetization, μB per cell: 1.92
DOS at the Fermi energy, states/eV/cell: 45.90

=====

8.
A plane-wave DFT calculation with PBE was carried out for an optimized crystal structure of Zr3CoBi.

Lattice parameters (Å, degrees): 5.345 5.345 5.345 90.00 90.00 90.00
Space group Pm-3m (No. 221)
One atom of each set of equivalent atoms:
Zr 0.000 0.000 0.500 x3
Co 0.500 0.500 0.500 x1
Bi 0.000 0.000 0.000 x1

Properties
Offset from the most stable computed form, meV/atom: 1958
Crystal system: cubic
Mass density, g cm⁻³: 5.9
Spin magnetization, μB per cell: 0.00
DOS at the Fermi energy, states/eV/cell: 11.06

=====

9.
A plane-wave DFT calculation with PBE was carried out for an optimized crystal structure of CsCrBi3.

Lattice parameters (Å, degrees): 5.574 5.574 5.574 90.00 90.00 90.00
Space group Pm-3m (No. 221)
One atom of each set of equivalent atoms:
Cs 0.000 0.000 0.000 x1
Cr 0.500 0.500 0.500 x1
Bi 0.000 0.500 0.500 x3

Properties
Offset from the most stable computed form, meV/atom: 0
Crystal system: cubic
Mass density, g cm⁻³: 7.8
Spin magnetization, μB per cell: 3.13
DOS at the Fermi energy, states/eV/cell: 4.34

=====

10.
A plane-wave DFT calculation with PBE was carried out for an optimized crystal structure of CsCrBi2.

Lattice parameters (Å, degrees): 8.056 8.056 8.056 90.00 90.00 90.00
Space group Fm-3m (No. 225)
One atom of each set of equivalent atoms:
Cs 0.000 0.000 0.000 x4
Cr 0.000 0.000 0.500 x4
Bi 0.250 0.250 0.250 x8

Properties
Crystal system: cubic
VASP energy, eV per atom: -4.0226
Mass density, g cm⁻³: 7.7
Spin magnetization, μB per cell: 16.80
DOS at the Fermi energy, states/eV/cell: 9.06

=====

11.
A plane-wave DFT calculation with PBE was carried out for an optimized crystal structure of CsCrBi3.

Lattice parameters (Å, degrees): 6.287 6.287 6.287 90.00 90.00 90.00
Space group Pm-3m (No. 221)
One atom of each set of equivalent atoms:
Cs 0.000 0.000 0.000 x1
Cr 0.500 0.500 0.500 x1
Bi 0.000 0.000 0.500 x3

Properties
Offset from the most stable computed form, meV/atom: 1530
Crystal system: cubic
Mass density, g cm⁻³: 5.4
Spin magnetization, μB per cell: 3.82
DOS at the Fermi energy, states/eV/cell: 6.77